# RbSb3P, relaxed, DFT GGA-PBEsol
# Formation energy from raw total energies = 2020 meV/atom
data_RbSb3P
_symmetry_space_group_name_H-M 'P 1'
_symmetry_Int_Tables_number 1
_cell_length_a 5.742
_cell_length_b 5.742
_cell_length_c 5.742
_cell_angle_alpha 90.00
_cell_angle_beta 90.00
_cell_angle_gamma 90.00
loop_
_symmetry_equiv_pos_as_xyz
'x,y,z'
loop_
_atom_site_label
_atom_site_fract_x
_atom_site_fract_y
_atom_site_fract_z
_atom_site_occupancy
Sb1 0.000 0.500 0.000 1
Sb2 0.500 0.000 0.000 1
Rb1 0.000 0.000 0.000 1
P1 0.500 0.500 0.500 1
Sb3 0.000 0.000 0.500 1

---

# Zn2OsSe, relaxed, DFT GGA-PBEsol
# Formation energy from raw total energies = 231 meV/atom
data_Zn2OsSe
_symmetry_space_group_name_H-M 'P 1'
_symmetry_Int_Tables_number 1
_cell_length_a 2.922
_cell_length_b 2.922
_cell_length_c 7.523
_cell_angle_alpha 90.00
_cell_angle_beta 90.00
_cell_angle_gamma 90.00
loop_
_symmetry_equiv_pos_as_xyz
'x,y,z'
loop_
_atom_site_label
_atom_site_fract_x
_atom_site_fract_y
_atom_site_fract_z
_atom_site_occupancy
Se1 0.500 0.500 0.693 1
Zn1 0.500 0.500 0.264 1
Os1 0.000 0.000 0.505 1
Zn2 0.000 0.000 0.039 1

---

# Rb2AuF, relaxed, DFT GGA-PBEsol
# Formation energy from raw total energies = -1294 meV/atom
data_Rb2AuF
_symmetry_space_group_name_H-M 'P 1'
_symmetry_Int_Tables_number 1
_cell_length_a 7.049
_cell_length_b 7.049
_cell_length_c 7.049
_cell_angle_alpha 104.03
_cell_angle_beta 112.26
_cell_angle_gamma 112.26
loop_
_symmetry_equiv_pos_as_xyz
'x,y,z'
loop_
_atom_site_label
_atom_site_fract_x
_atom_site_fract_y
_atom_site_fract_z
_atom_site_occupancy
Rb1 0.575 0.375 0.450 1
Au1 0.000 0.000 0.000 1
F1 0.500 0.250 0.750 1
Rb2 0.075 0.200 0.625 1
Rb3 0.925 0.550 0.125 1
Au2 0.500 0.750 0.250 1
Rb4 0.425 0.875 0.800 1
F2 0.000 0.500 0.500 1

---

# CaMg2Tl, relaxed, DFT GGA-PBEsol
# Polymorph energy (0 for the lowest one) = 27 meV/atom
# E_form = -0.77 eV/f.u.
data_CaMg2Tl
_symmetry_space_group_name_H-M 'P 1'
_symmetry_Int_Tables_number 1
_cell_length_a 4.544
_cell_length_b 4.544
_cell_length_c 4.913
_cell_angle_alpha 90.00
_cell_angle_beta 90.00
_cell_angle_gamma 90.00
loop_
_symmetry_equiv_pos_as_xyz
'x,y,z'
loop_
_atom_site_label
_atom_site_fract_x
_atom_site_fract_y
_atom_site_fract_z
_atom_site_occupancy
Tl1 0.500 0.500 0.500 1
Mg1 0.500 0.000 0.000 1
Mg2 0.000 0.500 0.000 1
Ca1 0.000 0.000 0.500 1

---

# BeHgNF2, relaxed, DFT GGA-PBEsol
# Formation energy from raw total energies = -1043 meV/atom
data_BeHgNF2
_symmetry_space_group_name_H-M 'P 1'
_symmetry_Int_Tables_number 1
_cell_length_a 3.238
_cell_length_b 3.238
_cell_length_c 5.111
_cell_angle_alpha 90.00
_cell_angle_beta 90.00
_cell_angle_gamma 90.00
loop_
_symmetry_equiv_pos_as_xyz
'x,y,z'
loop_
_atom_site_label
_atom_site_fract_x
_atom_site_fract_y
_atom_site_fract_z
_atom_site_occupancy
F1 0.000 0.500 0.000 1
N1 0.000 0.000 0.500 1
Hg1 0.500 0.500 0.500 1
F2 0.500 0.000 0.000 1
Be1 0.000 0.000 0.000 1

---

# BeP2Se, relaxed, DFT GGA-PBEsol
# Formation energy from raw total energies = 302 meV/atom
# Polymorph energy (0 for the lowest one) = 0 meV/atom
data_BeP2Se
_symmetry_space_group_name_H-M 'P 1'
_symmetry_Int_Tables_number 1
_cell_length_a 3.244
_cell_length_b 5.188
_cell_length_c 6.203
_cell_angle_alpha 114.72
_cell_angle_beta 105.16
_cell_angle_gamma 90.00
loop_
_symmetry_equiv_pos_as_xyz
'x,y,z'
loop_
_atom_site_label
_atom_site_fract_x
_atom_site_fract_y
_atom_site_fract_z
_atom_site_occupancy
Se1 0.658 0.658 0.317 1
P1 0.958 0.958 0.916 1
P2 0.594 0.094 0.187 1
Be1 0.290 0.790 0.580 1

---

Raw total energy in eV per atom, matching the order above: -2.08; -4.58; -3.27; -2.24; -4.43; -4.56